[1]
Below is BeAlFeNi after structural relaxation, with properties calculated at the PBE level.

Offset from the most stable computed form: 182 meV/atom

abc: 5.5471 5.5471 5.5471
angles: 90.00 90.00 90.00
Space group F-43m (No. 216)
Inequivalent atoms, fractional coordinates:
Be1 0.0000 0.0000 0.0000 (multiplicity 4)
Al1 0.2500 0.2500 0.7500 (multiplicity 4)
Fe1 0.2500 0.2500 0.2500 (multiplicity 4)
Ni1 0.0000 0.0000 0.5000 (multiplicity 4)

***

[2]
Below is BeAlFeNi after structural relaxation, with properties calculated at the PBE level.

Offset from the most stable computed form: 0 meV/atom

abc: 5.4980 5.4980 5.4980
angles: 90.00 90.00 90.00
Space group F-43m (No. 216)
Inequivalent atoms, fractional coordinates:
Be1 0.0000 0.0000 0.0000 (multiplicity 4)
Al1 0.0000 0.0000 0.5000 (multiplicity 4)
Fe1 0.2500 0.2500 0.7500 (multiplicity 4)
Ni1 0.2500 0.2500 0.2500 (multiplicity 4)

***

[3]
Below is BeAlFeW after structural relaxation, with properties calculated at the PBE level.

Offset from the most stable computed form: 0 meV/atom

abc: 5.7958 5.7958 5.7958
angles: 90.00 90.00 90.00
Space group F-43m (No. 216)
Inequivalent atoms, fractional coordinates:
Be1 0.0000 0.0000 0.0000 (multiplicity 4)
Al1 0.2500 0.2500 0.2500 (multiplicity 4)
Fe1 0.0000 0.0000 0.5000 (multiplicity 4)
W1 0.2500 0.2500 0.7500 (multiplicity 4)

***

[4]
Below is BeAlFeW after structural relaxation, with properties calculated at the PBE level.

Offset from the most stable computed form: 309 meV/atom

abc: 5.8755 5.8755 5.8755
angles: 90.00 90.00 90.00
Space group F-43m (No. 216)
Inequivalent atoms, fractional coordinates:
Be1 0.0000 0.0000 0.0000 (multiplicity 4)
Al1 0.0000 0.0000 0.5000 (multiplicity 4)
Fe1 0.2500 0.2500 0.7500 (multiplicity 4)
W1 0.2500 0.2500 0.2500 (multiplicity 4)

***

[5]
Below is BeAlZnFe after structural relaxation, with properties calculated at the PBE level.

Offset from the most stable computed form: 71 meV/atom

abc: 5.7273 5.7273 5.7273
angles: 90.00 90.00 90.00
Space group F-43m (No. 216)
Inequivalent atoms, fractional coordinates:
Be1 0.0000 0.0000 0.0000 (multiplicity 4)
Al1 0.2500 0.2500 0.7500 (multiplicity 4)
Zn1 0.0000 0.0000 0.5000 (multiplicity 4)
Fe1 0.2500 0.2500 0.2500 (multiplicity 4)

***

[6]
Below is BeAlZnFe after structural relaxation, with properties calculated at the PBE level.

Offset from the most stable computed form: 18 meV/atom

abc: 5.7261 5.7261 5.7261
angles: 90.00 90.00 90.00
Space group F-43m (No. 216)
Inequivalent atoms, fractional coordinates:
Be1 0.0000 0.0000 0.0000 (multiplicity 4)
Al1 0.2500 0.2500 0.2500 (multiplicity 4)
Zn1 0.2500 0.2500 0.7500 (multiplicity 4)
Fe1 0.0000 0.0000 0.5000 (multiplicity 4)

***

[7]
Below is BeAlZnFe after structural relaxation, with properties calculated at the PBE level.

Offset from the most stable computed form: 0 meV/atom

abc: 5.7145 5.7145 5.7145
angles: 90.00 90.00 90.00
Space group F-43m (No. 216)
Inequivalent atoms, fractional coordinates:
Be1 0.0000 0.0000 0.0000 (multiplicity 4)
Al1 0.0000 0.0000 0.5000 (multiplicity 4)
Zn1 0.2500 0.2500 0.7500 (multiplicity 4)
Fe1 0.2500 0.2500 0.2500 (multiplicity 4)

***

[8]
Below is BeAlGaPd after structural relaxation, with properties calculated at the PBE level.

Offset from the most stable computed form: 35 meV/atom

abc: 6.0626 6.0626 6.0626
angles: 90.00 90.00 90.00
Space group F-43m (No. 216)
Inequivalent atoms, fractional coordinates:
Be1 0.0000 0.0000 0.0000 (multiplicity 4)
Al1 0.2500 0.2500 0.2500 (multiplicity 4)
Ga1 0.2500 0.2500 0.7500 (multiplicity 4)
Pd1 0.0000 0.0000 0.5000 (multiplicity 4)

***

[9]
Below is BeAlGaPd after structural relaxation, with properties calculated at the PBE level.

Offset from the most stable computed form: 68 meV/atom

abc: 6.0612 6.0612 6.0612
angles: 90.00 90.00 90.00
Space group F-43m (No. 216)
Inequivalent atoms, fractional coordinates:
Be1 0.0000 0.0000 0.0000 (multiplicity 4)
Al1 0.2500 0.2500 0.7500 (multiplicity 4)
Ga1 0.0000 0.0000 0.5000 (multiplicity 4)
Pd1 0.2500 0.2500 0.2500 (multiplicity 4)

***

[10]
Below is BeAlGaPd after structural relaxation, with properties calculated at the PBE level.

Offset from the most stable computed form: 0 meV/atom

abc: 6.0536 6.0536 6.0536
angles: 90.00 90.00 90.00
Space group F-43m (No. 216)
Inequivalent atoms, fractional coordinates:
Be1 0.0000 0.0000 0.0000 (multiplicity 4)
Al1 0.0000 0.0000 0.5000 (multiplicity 4)
Ga1 0.2500 0.2500 0.7500 (multiplicity 4)
Pd1 0.2500 0.2500 0.2500 (multiplicity 4)

***

[11]
Below is HfBeAl after structural relaxation, with properties calculated at the PBE level.

Offset from the most stable computed form: 258 meV/atom

abc: 6.1909 6.1909 6.1909
angles: 90.00 90.00 90.00
Space group F-43m (No. 216)
Inequivalent atoms, fractional coordinates:
Hf1 0.0000 0.0000 0.0000 (multiplicity 4)
Be1 0.2500 0.2500 0.2500 (multiplicity 4)
Al1 0.2500 0.2500 0.7500 (multiplicity 4)

***

[12]
Below is HfBeAl after structural relaxation, with properties calculated at the PBE level.

Offset from the most stable computed form: 0 meV/atom

abc: 6.0209 6.0209 6.0209
angles: 90.00 90.00 90.00
Space group F-43m (No. 216)
Inequivalent atoms, fractional coordinates:
Hf1 0.0000 0.0000 0.0000 (multiplicity 4)
Be1 0.0000 0.0000 0.5000 (multiplicity 4)
Al1 0.2500 0.2500 0.7500 (multiplicity 4)

***

[13]
Below is HfBeAl2 after structural relaxation, with properties calculated at the PBE level.

Uncorrected energy: -5.17 eV per atom

abc: 6.3154 6.3154 6.3154
angles: 90.00 90.00 90.00
Space group F-43m (No. 216)
Inequivalent atoms, fractional coordinates:
Hf1 0.0000 0.0000 0.0000 (multiplicity 4)
Be1 0.2500 0.2500 0.7500 (multiplicity 4)
Al1 0.0000 0.0000 0.5000 (multiplicity 4)
Al2 0.2500 0.2500 0.2500 (multiplicity 4)

***

[14]
Below is Hf2Be2Al after structural relaxation, with properties calculated at the PBE level.

Uncorrected energy: -6.55 eV per atom

abc: 6.2818 6.2818 3.8693
angles: 90.00 90.00 90.00
Space group P4/mbm (No. 127)
Inequivalent atoms, fractional coordinates:
Hf1 0.1701 0.3299 0.0000 (multiplicity 4)
Be1 0.1219 0.6219 0.5000 (multiplicity 4)
Al1 0.0000 0.0000 0.5000 (multiplicity 2)

***

[15]
Below is HfBeAlIr after structural relaxation, with properties calculated at the PBE level.

Offset from the most stable computed form: 182 meV/atom

abc: 6.1973 6.1973 6.1973
angles: 90.00 90.00 90.00
Space group F-43m (No. 216)
Inequivalent atoms, fractional coordinates:
Hf1 0.0000 0.0000 0.0000 (multiplicity 4)
Be1 0.0000 0.0000 0.5000 (multiplicity 4)
Al1 0.2500 0.2500 0.2500 (multiplicity 4)
Ir1 0.2500 0.2500 0.7500 (multiplicity 4)

***

[16]
Below is HfBeAlIr after structural relaxation, with properties calculated at the PBE level.

Offset from the most stable computed form: 189 meV/atom

abc: 6.1317 6.1317 6.1317
angles: 90.00 90.00 90.00
Space group F-43m (No. 216)
Inequivalent atoms, fractional coordinates:
Hf1 0.0000 0.0000 0.0000 (multiplicity 4)
Be1 0.2500 0.2500 0.7500 (multiplicity 4)
Al1 0.2500 0.2500 0.2500 (multiplicity 4)
Ir1 0.0000 0.0000 0.5000 (multiplicity 4)

***

[17]
Below is HfBeAlIr after structural relaxation, with properties calculated at the PBE level.

Offset from the most stable computed form: 0 meV/atom

abc: 6.1928 6.1928 6.1928
angles: 90.00 90.00 90.00
Space group F-43m (No. 216)
Inequivalent atoms, fractional coordinates:
Hf1 0.0000 0.0000 0.0000 (multiplicity 4)
Be1 0.2500 0.2500 0.7500 (multiplicity 4)
Al1 0.0000 0.0000 0.5000 (multiplicity 4)
Ir1 0.2500 0.2500 0.2500 (multiplicity 4)

***

[18]
Below is HfBeAlNi after structural relaxation, with properties calculated at the PBE level.

Offset from the most stable computed form: 0 meV/atom

abc: 6.0310 6.0310 6.0310
angles: 90.00 90.00 90.00
Space group F-43m (No. 216)
Inequivalent atoms, fractional coordinates:
Hf1 0.0000 0.0000 0.0000 (multiplicity 4)
Be1 0.2500 0.2500 0.2500 (multiplicity 4)
Al1 0.0000 0.0000 0.5000 (multiplicity 4)
Ni1 0.2500 0.2500 0.7500 (multiplicity 4)

***

[19]
Below is HfBeAlNi after structural relaxation, with properties calculated at the PBE level.

Offset from the most stable computed form: 304 meV/atom

abc: 6.0479 6.0479 6.0479
angles: 90.00 90.00 90.00
Space group F-43m (No. 216)
Inequivalent atoms, fractional coordinates:
Hf1 0.0000 0.0000 0.0000 (multiplicity 4)
Be1 0.2500 0.2500 0.7500 (multiplicity 4)
Al1 0.2500 0.2500 0.2500 (multiplicity 4)
Ni1 0.0000 0.0000 0.5000 (multiplicity 4)

***

[20]
Below is BeAlNiHg after structural relaxation, with properties calculated at the PBE level.

Offset from the most stable computed form: 0 meV/atom

abc: 6.0208 6.0208 6.0208
angles: 90.00 90.00 90.00
Space group F-43m (No. 216)
Inequivalent atoms, fractional coordinates:
Be1 0.0000 0.0000 0.0000 (multiplicity 4)
Al1 0.0000 0.0000 0.5000 (multiplicity 4)
Ni1 0.2500 0.2500 0.7500 (multiplicity 4)
Hg1 0.2500 0.2500 0.2500 (multiplicity 4)

***

[21]
Below is Ho2BeAl2 after structural relaxation, with properties calculated at the PBE level.

Uncorrected energy: -4.17 eV per atom

abc: 4.8831 10.7058 4.0001
angles: 90.00 90.00 90.00
Space group Cmmm (No. 65)
Inequivalent atoms, fractional coordinates:
Ho1 0.0000 0.1481 0.0000 (multiplicity 4)
Be1 0.0000 0.5000 0.0000 (multiplicity 2)
Al1 0.0000 0.3738 0.5000 (multiplicity 4)

***

[22]
Below is BeAlInNi after structural relaxation, with properties calculated at the PBE level.

Offset from the most stable computed form: 160 meV/atom

abc: 6.1429 6.1429 6.1429
angles: 90.00 90.00 90.00
Space group F-43m (No. 216)
Inequivalent atoms, fractional coordinates:
Be1 0.0000 0.0000 0.0000 (multiplicity 4)
Al1 0.2500 0.2500 0.7500 (multiplicity 4)
In1 0.0000 0.0000 0.5000 (multiplicity 4)
Ni1 0.2500 0.2500 0.2500 (multiplicity 4)

***

[23]
Below is BeAlInNi after structural relaxation, with properties calculated at the PBE level.

Offset from the most stable computed form: 0 meV/atom

abc: 6.0727 6.0727 6.0727
angles: 90.00 90.00 90.00
Space group F-43m (No. 216)
Inequivalent atoms, fractional coordinates:
Be1 0.0000 0.0000 0.0000 (multiplicity 4)
Al1 0.2500 0.2500 0.2500 (multiplicity 4)
In1 0.2500 0.2500 0.7500 (multiplicity 4)
Ni1 0.0000 0.0000 0.5000 (multiplicity 4)

***

[24]
Below is BeAlInNi after structural relaxation, with properties calculated at the PBE level.

Offset from the most stable computed form: 104 meV/atom

abc: 6.1279 6.1279 6.1279
angles: 90.00 90.00 90.00
Space group F-43m (No. 216)
Inequivalent atoms, fractional coordinates:
Be1 0.0000 0.0000 0.0000 (multiplicity 4)
Al1 0.0000 0.0000 0.5000 (multiplicity 4)
In1 0.2500 0.2500 0.7500 (multiplicity 4)
Ni1 0.2500 0.2500 0.2500 (multiplicity 4)

***

[25]
Below is BeAlIr2 after structural relaxation, with properties calculated at the PBE level.

Offset from the most stable computed form: 141 meV/atom

abc: 5.3455 7.2701 5.2959
angles: 90.00 90.00 90.00
Space group Pnma (No. 62)
Inequivalent atoms, fractional coordinates:
Be1 0.0693 0.2500 0.0499 (multiplicity 4)
Al1 0.0179 0.2500 0.5437 (multiplicity 4)
Ir1 0.1859 0.5138 0.8153 (multiplicity 8)

***

[26]
Below is Be2AlIr after structural relaxation, with properties calculated at the PBE level.

Uncorrected energy: -5.34 eV per atom

abc: 5.7164 5.7164 5.7164
angles: 90.00 90.00 90.00
Space group F-43m (No. 216)
Inequivalent atoms, fractional coordinates:
Be1 0.0000 0.0000 0.0000 (multiplicity 4)
Be2 0.2500 0.2500 0.2500 (multiplicity 4)
Al1 0.0000 0.0000 0.5000 (multiplicity 4)
Ir1 0.2500 0.2500 0.7500 (multiplicity 4)

***

[27]
Below is BeAlIr2 after structural relaxation, with properties calculated at the PBE level.

Offset from the most stable computed form: 572 meV/atom

abc: 4.2491 4.2491 7.4277
angles: 90.00 90.00 120.00
Space group P6_3/mmc (No. 194)
Inequivalent atoms, fractional coordinates:
Be1 0.3333 0.6667 0.2500 (multiplicity 2)
Al1 0.0000 0.0000 0.0000 (multiplicity 2)
Ir1 0.3333 0.6667 0.5821 (multiplicity 4)

***

[28]
Below is BeAlIr2 after structural relaxation, with properties calculated at the PBE level.

Offset from the most stable computed form: 682 meV/atom

abc: 6.0094 6.0094 6.0094
angles: 90.00 90.00 90.00
Space group F-43m (No. 216)
Inequivalent atoms, fractional coordinates:
Be1 0.0000 0.0000 0.0000 (multiplicity 4)
Al1 0.2500 0.2500 0.7500 (multiplicity 4)
Ir1 0.0000 0.0000 0.5000 (multiplicity 4)
Ir2 0.2500 0.2500 0.2500 (multiplicity 4)

***

[29]
Below is BeAlIr after structural relaxation, with properties calculated at the PBE level.

Offset from the most stable computed form: 286 meV/atom

abc: 5.6022 5.6022 5.6022
angles: 90.00 90.00 90.00
Space group F-43m (No. 216)
Inequivalent atoms, fractional coordinates:
Be1 0.0000 0.0000 0.0000 (multiplicity 4)
Al1 0.2500 0.2500 0.2500 (multiplicity 4)
Ir1 0.0000 0.0000 0.5000 (multiplicity 4)